VASP calculation (PBE) on CoTcHg after structural relaxation.

Calculated values
E_form: 1.1 eV/f.u.
V: 15.3 A^3/atom
ΔE to the lowest computed polymorph: 0 meV per atom
ρ: 12.960 g/cm3
Space-group type: I4mm, No. 107

Cell: 2.8193 2.8193 11.5259 Å, 90.00 90.00 90.00°
With the nearest neighbours (Å) after each atom.
Fractional coordinates of all 6 atoms:
Co1 0.0000 0.0000 0.0000  4 Tc 2.47
Co2 0.5000 0.5000 0.5000  4 Tc 2.47
Tc1 0.0000 0.0000 0.6263  4 Co 2.47
Tc2 0.5000 0.5000 0.1263  4 Co 2.47
Hg1 0.0000 0.0000 0.3221  4 Hg 2.82, 4 Co 2.86, 4 Tc 3.01
Hg2 0.5000 0.5000 0.8221  4 Hg 2.82, 4 Co 2.86, 4 Tc 3.01


VASP calculation (PBE) on CoTcHg after structural relaxation.

Calculated values
E_form: 1.4 eV/f.u.
V: 15.5 A^3/atom
ΔE to the lowest computed polymorph: 97 meV per atom
ρ: 12.738 g/cm3
Space-group type: P3m1, No. 156

Cell: 2.8160 2.8160 6.7864 Å, 90.00 90.00 120.00°
With the nearest neighbours (Å) after each atom.
Fractional coordinates of all 3 atoms:
Co1 0.0000 0.0000 0.0000  3 Tc 2.50
Tc1 0.3333 0.6667 0.7210  3 Co 2.50
Hg1 0.6667 0.3333 0.3443  6 Hg 2.82, 3 Co 2.85, 3 Tc 3.03


VASP calculation (PBE) on Co2TcHg after structural relaxation.

Calculated values
E_form: 3.3 eV/f.u.
V: 15.6 A^3/atom
ρ: 11.060 g/cm3
Space-group type: I-42d, No. 122

Cell: 6.7524 6.7524 5.4853 Å, 90.00 90.00 90.00°
With the nearest neighbours (Å) after each atom.
Fractional coordinates of all 16 atoms:
Co1 0.2089 0.7500 0.1250  2 Tc 2.30
Co2 0.2500 0.2089 0.8750  2 Tc 2.30
Co3 0.2500 0.2911 0.3750  2 Tc 2.30
Co4 0.2911 0.7500 0.6250  2 Tc 2.30
Co5 0.7089 0.2500 0.6250  2 Tc 2.30
Co6 0.7500 0.7089 0.3750  2 Tc 2.30
Co7 0.7500 0.7911 0.8750  2 Tc 2.30
Co8 0.7911 0.2500 0.1250  2 Tc 2.30
Tc1 0.0000 0.0000 0.0000  4 Co 2.30
Tc2 0.0000 0.5000 0.2500  4 Co 2.30
Tc3 0.5000 0.0000 0.7500  4 Co 2.30
Tc4 0.5000 0.5000 0.5000  4 Co 2.30
Hg1 0.0000 0.0000 0.5000  4 Co 2.68, 2 Tc 2.74
Hg2 0.0000 0.5000 0.7500  4 Co 2.68, 2 Tc 2.74
Hg3 0.5000 0.0000 0.2500  4 Co 2.68, 2 Tc 2.74
Hg4 0.5000 0.5000 0.0000  4 Co 2.68, 2 Tc 2.74


VASP calculation (PBE) on Co2TcHg after structural relaxation.

Calculated values
E_form: 2.0 eV/f.u.
V: 14.4 A^3/atom
ρ: 12.037 g/cm3
Space-group type: P4/mmm, No. 123

Cell: 4.0794 4.0794 3.4523 Å, 90.00 90.00 90.00°
With the nearest neighbours (Å) after each atom.
Fractional coordinates of all 4 atoms:
Co1 0.0000 0.5000 0.0000  4 Hg 2.67, 4 Tc 2.67, 4 Co 2.88
Co2 0.5000 0.0000 0.0000  4 Hg 2.67, 4 Tc 2.67, 4 Co 2.88
Tc1 0.0000 0.0000 0.5000  8 Co 2.67, 4 Hg 2.88
Hg1 0.5000 0.5000 0.5000  8 Co 2.67, 4 Tc 2.88